1.
{
  "formula": "Cr6CdCu2O12",
  "functional": "PBE with a Hubbard U",
  "state": "relaxed",
  "lattice_angstrom": [[-3.031, 9.091, 4.274], [3.031, -9.091, 4.274], [3.031, 9.091, -4.274]],
  "species": ["Cr", "Cr", "Cr", "Cr", "Cr", "Cr", "Cr", "Cr", "Cr", "Cr", "Cr", "Cr", "Cd", "Cd", "Cu", "Cu", "Cu", "Cu", "O", "O", "O", "O", "O", "O", "O", "O", "O", "O", "O", "O", "O", "O", "O", "O", "O", "O", "O", "O", "O", "O", "O", "O"],
  "fractional_positions": [[0.082, 0.000, 0.082], [0.249, 0.502, 0.253], [0.249, 0.996, 0.747], [0.257, 0.007, 0.250], [0.426, 0.007, 0.418], [0.589, 0.007, 0.582], [0.594, 0.009, 0.087], [0.594, 0.507, 0.585], [0.756, 0.007, 0.750], [0.918, 0.000, 0.918], [0.923, 0.009, 0.415], [0.923, 0.507, 0.913], [0.214, 0.379, 0.834], [0.545, 0.379, 0.166], [0.297, 0.630, 0.667], [0.629, 0.629, 0.000], [0.880, 0.380, 0.500], [0.963, 0.630, 0.333], [0.008, 0.768, 0.240], [0.012, 0.238, 0.226], [0.012, 0.786, 0.774], [0.161, 0.218, 0.389], [0.161, 0.231, 0.929], [0.161, 0.772, 0.943], [0.192, 0.767, 0.425], [0.302, 0.231, 0.071], [0.342, 0.767, 0.575], [0.360, 0.239, 0.548], [0.360, 0.812, 0.122], [0.488, 0.215, 0.727], [0.488, 0.761, 0.273], [0.504, 0.241, 0.264], [0.528, 0.768, 0.760], [0.656, 0.245, 0.410], [0.675, 0.766, 0.909], [0.691, 0.239, 0.878], [0.691, 0.812, 0.452], [0.829, 0.218, 0.057], [0.829, 0.772, 0.611], [0.835, 0.245, 0.590], [0.857, 0.766, 0.091], [0.977, 0.241, 0.736]],
  "final_energy_ev_per_fu": -147.499,
  "spacegroup": "Imm2, No. 44",
  "magmom_total_mub_per_fu": 16.0
}

2.
{
  "formula": "Cr4CdCu3O12",
  "functional": "PBE with a Hubbard U",
  "state": "relaxed",
  "lattice_angstrom": [[-3.695, 3.695, 3.695], [3.695, -3.695, 3.695], [3.695, 3.695, -3.695]],
  "species": ["Cr", "Cr", "Cr", "Cr", "Cd", "Cu", "Cu", "Cu", "O", "O", "O", "O", "O", "O", "O", "O", "O", "O", "O", "O"],
  "fractional_positions": [[0.000, 0.000, 0.500], [0.000, 0.500, 0.000], [0.500, 0.000, 0.000], [0.500, 0.500, 0.500], [0.000, 0.000, 0.000], [0.000, 0.500, 0.500], [0.500, 0.000, 0.500], [0.500, 0.500, 0.000], [0.143, 0.830, 0.313], [0.170, 0.313, 0.483], [0.170, 0.687, 0.857], [0.313, 0.143, 0.830], [0.313, 0.483, 0.170], [0.483, 0.170, 0.313], [0.517, 0.830, 0.687], [0.687, 0.517, 0.830], [0.687, 0.857, 0.170], [0.830, 0.313, 0.143], [0.830, 0.687, 0.517], [0.857, 0.170, 0.687]],
  "final_energy_ev_per_fu": -127.639,
  "spacegroup": "Im-3, No. 204",
  "magmom_total_mub_per_fu": 11.0
}

3.
{
  "formula": "Cr6CdCu2O12",
  "functional": "PBE with a Hubbard U",
  "state": "relaxed",
  "lattice_angstrom": [[-3.032, 3.032, 12.806], [3.032, -3.032, 12.806], [3.032, 3.032, -12.806]],
  "species": ["Cr", "Cr", "Cr", "Cr", "Cr", "Cr", "Cr", "Cr", "Cr", "Cr", "Cr", "Cr", "Cd", "Cd", "Cu", "Cu", "Cu", "Cu", "O", "O", "O", "O", "O", "O", "O", "O", "O", "O", "O", "O", "O", "O", "O", "O", "O", "O", "O", "O", "O", "O", "O", "O"],
  "fractional_positions": [[0.042, 0.792, 0.249], [0.207, 0.460, 0.747], [0.208, 0.457, 0.249], [0.208, 0.958, 0.751], [0.369, 0.123, 0.247], [0.540, 0.287, 0.747], [0.540, 0.793, 0.253], [0.543, 0.792, 0.751], [0.713, 0.460, 0.253], [0.876, 0.123, 0.753], [0.877, 0.124, 0.247], [0.877, 0.631, 0.753], [0.335, 0.335, 0.000], [0.665, 0.665, 0.000], [0.000, 0.000, 0.000], [0.082, 0.582, 0.500], [0.418, 0.918, 0.500], [0.750, 0.250, 0.500], [0.095, 0.383, 0.711], [0.097, 0.872, 0.225], [0.128, 0.352, 0.225], [0.128, 0.903, 0.775], [0.286, 0.001, 0.715], [0.286, 0.571, 0.285], [0.318, 0.539, 0.779], [0.319, 0.043, 0.276], [0.429, 0.202, 0.227], [0.429, 0.714, 0.715], [0.461, 0.240, 0.779], [0.461, 0.682, 0.221], [0.617, 0.328, 0.711], [0.617, 0.905, 0.289], [0.648, 0.872, 0.775], [0.672, 0.383, 0.289], [0.760, 0.539, 0.221], [0.767, 0.043, 0.724], [0.798, 0.024, 0.227], [0.798, 0.571, 0.773], [0.957, 0.233, 0.276], [0.957, 0.681, 0.724], [0.976, 0.202, 0.773], [0.999, 0.714, 0.285]],
  "final_energy_ev_per_fu": -147.501,
  "spacegroup": "I-4m2, No. 119",
  "magmom_total_mub_per_fu": 16.0
}

The records above yield volume values of 11.22 10.09 11.21 Å³/atom, respectively.